Material: Ca2YSe
Method: DFT, PBE
State: optimized geometry

Properties
The space group is I4/mmm (139). The size of the total moment comes out at 0.002 μB/f.u. The uncorrected formation energy is -169 kJ/mol of formula units. Its energy is -3.9265 eV/atom.

a b c (Å): 6.629 6.629 6.629
angles (deg): 140.36 140.36 57.31
Fractional coordinates of all 4 atoms:
Ca: 0.000 0.000 0.000
Ca: 0.500 0.500 0.000
Y: 0.750 0.250 0.500
Se: 0.250 0.750 0.500

Material: BaTl2RhCl8
Method: DFT, PBE
State: optimized geometry

Properties
The space group is P-1 (2). The size of the total moment comes out at 0.000 μB/f.u. The uncorrected formation energy is -1324 kJ/mol of formula units. Its energy is -3.5415 eV/atom.

a b c (Å): 5.876 7.636 8.801
angles (deg): 89.97 90.02 110.16
Fractional coordinates of all 12 atoms:
Cl: 0.543 0.259 0.500
Cl: 0.050 0.797 0.192
Cl: 0.051 0.797 0.808
Cl: 0.949 0.203 0.192
Cl: 0.950 0.203 0.808
Cl: 0.457 0.741 0.500
Cl: 0.589 0.829 0.000
Cl: 0.411 0.171 0.000
Tl: 0.499 0.500 0.234
Tl: 0.501 0.500 0.766
Rh: 0.000 0.000 0.000
Ba: 0.000 0.000 0.500

Material: Sc2Mn5B2W
Method: DFT, PBE
State: optimized geometry

Properties
The space group is P4/mbm (127). The size of the total moment comes out at 6.667 μB/f.u. The calculation puts the formation energy at -24 kJ per mole of atoms. Its energy is -8.7321 eV/atom.

a b c (Å): 2.997 9.055 9.055
angles (deg): 90.00 90.00 90.00
Fractional coordinates of all 20 atoms:
Sc: 0.000 0.822 0.678
Sc: 0.000 0.678 0.178
Sc: 0.000 0.178 0.322
Sc: 0.000 0.322 0.822
Mn: 0.500 0.000 0.500
Mn: 0.500 0.281 0.566
Mn: 0.500 0.719 0.434
Mn: 0.500 0.066 0.781
Mn: 0.500 0.566 0.719
Mn: 0.500 0.219 0.066
Mn: 0.500 0.934 0.219
Mn: 0.500 0.434 0.281
Mn: 0.500 0.781 0.934
Mn: 0.500 0.500 0.000
B: 0.000 0.381 0.119
B: 0.000 0.619 0.881
B: 0.000 0.119 0.619
B: 0.000 0.881 0.381
W: 0.000 0.500 0.500
W: 0.000 0.000 0.000

Material: Sm2ThGe
Method: DFT, PBE
State: optimized geometry

Properties
The space group is P4/mmm (123). The size of the total moment comes out at 0.000 μB/f.u. The calculation puts the formation energy at -28 kJ per mole of atoms. Its energy is -5.6640 eV/atom.

a b c (Å): 4.757 4.785 4.785
angles (deg): 90.00 90.00 90.00
Fractional coordinates of all 4 atoms:
Th: 0.500 0.000 0.000
Sm: 0.000 0.000 0.500
Sm: 0.000 0.500 0.000
Ge: 0.500 0.500 0.500

Material: AsPdPb3
Method: DFT, PBE
State: optimized geometry

Properties
The space group is Pm-3m (221). The size of the total moment comes out at 0.000 μB/f.u. The calculation puts the formation energy at 63 kJ per mole of atoms. Its energy is -3.5447 eV/atom.

a b c (Å): 5.540 5.540 5.540
angles (deg): 90.00 90.00 90.00
Fractional coordinates of all 5 atoms:
Pb: 0.500 0.000 0.000
Pb: 0.000 0.000 0.500
Pb: 0.000 0.500 0.000
As: 0.000 0.000 0.000
Pd: 0.500 0.500 0.500

Material: YSb
Method: DFT, PBE
State: optimized geometry

Properties
The space group is R3m (160). The size of the total moment comes out at 0.000 μB/f.u. The uncorrected formation energy is -204 kJ/mol of formula units. Its energy is -6.3482 eV/atom.

a b c (Å): 4.367 4.367 22.220
angles (deg): 90.00 90.00 120.00
Fractional coordinates of all 12 atoms:
Sb: 0.333 0.667 0.930
Sb: 0.667 0.333 0.596
Sb: 0.667 0.333 0.766
Sb: 0.000 0.000 0.433
Sb: 0.000 0.000 0.263
Sb: 0.333 0.667 0.099
Y: 0.333 0.667 0.346
Y: 0.333 0.667 0.517
Y: 0.000 0.000 0.850
Y: 0.667 0.333 0.013
Y: 0.000 0.000 0.679
Y: 0.667 0.333 0.184

Material: Tb8Bi4Sb3
Method: DFT, PBE
State: optimized geometry

Properties
The space group is C2/m (12). The size of the total moment comes out at 0.000 μB/f.u. The uncorrected formation energy is -1235 kJ/mol of formula units. Its energy is -5.1822 eV/atom.

a b c (Å): 8.837 8.827 8.827
angles (deg): 89.99 120.04 120.04
Fractional coordinates of all 15 atoms:
Sb: 0.500 0.500 0.000
Sb: 0.500 0.500 0.500
Sb: 0.500 0.000 0.500
Bi: 0.000 0.000 0.000
Bi: 0.500 0.000 0.000
Bi: 0.000 0.000 0.500
Bi: 0.000 0.500 0.000
Tb: 0.505 0.255 0.255
Tb: 0.000 0.252 0.748
Tb: 0.500 0.252 0.748
Tb: 0.500 0.748 0.252
Tb: 0.995 0.746 0.746
Tb: 0.005 0.254 0.254
Tb: 0.000 0.748 0.252
Tb: 0.495 0.745 0.745

Material: La8Ru3I4Br
Method: DFT, PBE
State: optimized geometry

Properties
The space group is R-3m (166). The size of the total moment comes out at 0.000 μB/f.u. The uncorrected formation energy is -1369 kJ/mol of formula units. Its energy is -5.5819 eV/atom.

a b c (Å): 8.645 9.555 8.646
angles (deg): 116.92 120.00 90.00
Fractional coordinates of all 16 atoms:
I: 0.000 0.000 0.500
I: 0.500 0.000 0.000
I: 0.500 0.000 0.500
I: 0.000 0.000 0.000
Ru: 0.500 0.500 0.500
Ru: 0.500 0.500 0.000
Ru: 0.000 0.500 0.500
Br: 0.000 0.500 0.000
La: 0.755 0.312 0.510
La: 0.245 0.688 0.944
La: 0.731 0.691 0.461
La: 0.269 0.309 0.539
La: 0.755 0.312 0.056
La: 0.698 0.688 0.944
La: 0.245 0.688 0.490
La: 0.302 0.312 0.056

Material: Na2SrSbPt
Method: DFT, PBE
State: optimized geometry

Properties
The space group is P4/mmm (123). The size of the total moment comes out at 1.000 μB/f.u. The uncorrected formation energy is 80 kJ/mol of formula units. Its energy is -2.7299 eV/atom.

a b c (Å): 5.566 6.347 5.566
angles (deg): 90.00 90.00 90.00
Fractional coordinates of all 5 atoms:
Na: 0.000 0.000 0.500
Na: 0.500 0.000 0.000
Pt: 0.500 0.500 0.500
Sr: 0.000 0.500 0.000
Sb: 0.000 0.000 0.000

Material: Li2Cu7SiSb2
Method: DFT, PBE
State: optimized geometry

Properties
The space group is Cmmm (65). The size of the total moment comes out at 0.000 μB/f.u. The uncorrected formation energy is -35 kJ/mol of formula units. Its energy is -3.8778 eV/atom.

a b c (Å): 3.842 3.842 11.852
angles (deg): 89.99 89.99 91.25
Fractional coordinates of all 12 atoms:
Li: 0.500 0.500 0.698
Li: 0.500 0.500 0.302
Sb: 0.000 0.000 0.692
Sb: 0.000 0.000 0.308
Cu: 0.500 0.000 0.141
Cu: 0.741 0.741 0.500
Cu: 0.000 0.500 0.141
Cu: 0.500 0.500 0.000
Cu: 0.500 0.000 0.859
Cu: 0.259 0.259 0.500
Cu: 0.000 0.500 0.859
Si: 0.000 0.000 0.000

Material: Ba2ScBi
Method: DFT, PBE
State: optimized geometry

Properties
The space group is I-42d (122). The size of the total moment comes out at 0.002 μB/f.u. The calculation puts the formation energy at 3 kJ per mole of atoms. Its energy is -3.4811 eV/atom.

a b c (Å): 9.830 9.830 7.729
angles (deg): 50.51 50.51 90.00
Fractional coordinates of all 8 atoms:
Sc: 0.250 0.750 0.500
Sc: 0.500 0.500 0.000
Ba: 0.875 0.900 0.750
Ba: 0.650 0.125 0.250
Ba: 0.375 0.350 0.750
Ba: 0.100 0.625 0.250
Bi: 0.000 0.000 0.000
Bi: 0.750 0.250 0.500

Material: Li2TaCr2
Method: DFT, PBE
State: optimized geometry

Properties
The space group is P4/mbm (127). The size of the total moment comes out at 0.000 μB/f.u. The calculation puts the formation energy at 75 kJ per mole of atoms. Its energy is -6.2103 eV/atom.

a b c (Å): 7.134 7.134 2.598
angles (deg): 90.00 90.00 90.00
Fractional coordinates of all 10 atoms:
Ta: 0.500 0.500 0.000
Ta: 0.000 0.000 0.000
Cr: 0.813 0.313 0.500
Cr: 0.187 0.687 0.500
Cr: 0.687 0.813 0.500
Cr: 0.313 0.187 0.500
Li: 0.389 0.889 0.000
Li: 0.611 0.111 0.000
Li: 0.889 0.611 0.000
Li: 0.111 0.389 0.000

Material: NaSiPd
Method: DFT, PBE
State: optimized geometry

Properties
The space group is I4/mmm (139). The size of the total moment comes out at 0.000 μB/f.u. The uncorrected formation energy is -81 kJ/mol of formula units. Its energy is -4.2594 eV/atom.

a b c (Å): 4.241 4.241 7.384
angles (deg): 106.69 106.69 90.00
Fractional coordinates of all 6 atoms:
Na: 0.330 0.494 0.660
Na: 0.670 0.834 0.340
Si: 0.097 0.261 0.193
Si: 0.903 0.068 0.807
Pd: 0.500 0.164 0.000
Pd: 0.000 0.665 0.000

Material: LiOsS
Method: DFT, PBE
State: optimized geometry

Properties
The space group is Amm2 (38). The size of the total moment comes out at 0.008 μB/f.u. The uncorrected formation energy is 63 kJ/mol of formula units. Its energy is -5.5408 eV/atom.

a b c (Å): 2.849 2.848 12.181
angles (deg): 90.00 90.00 120.01
Fractional coordinates of all 6 atoms:
Os: 0.337 0.673 0.500
Os: 0.554 0.108 0.000
S: 0.666 0.331 0.349
S: 0.666 0.331 0.651
Li: 0.222 0.445 0.823
Li: 0.222 0.445 0.177

Material: In3Re
Method: DFT, PBE
State: optimized geometry

Properties
The space group is Cmcm (63). The size of the total moment comes out at 0.000 μB/f.u. The calculation puts the formation energy at 43 kJ per mole of atoms. Its energy is -4.7202 eV/atom.

a b c (Å): 8.108 8.108 3.402
angles (deg): 90.00 90.00 106.19
Fractional coordinates of all 8 atoms:
In: 0.786 0.214 0.250
In: 0.659 0.889 0.750
In: 0.889 0.659 0.250
In: 0.111 0.341 0.750
In: 0.214 0.786 0.750
In: 0.341 0.111 0.250
Re: 0.438 0.562 0.750
Re: 0.562 0.438 0.250